The following is a GGA-PBE calculation of crystalline LaMn3Cr at its relaxed geometry, from Alexandria via LeMat-Bulk.

abc: 4.607 4.607 4.607
angles: 90.00 90.00 90.00
Fractional positions:
Cr 0.500 0.500 0.500
Mn 0.000 0.500 0.000
Mn 0.000 0.000 0.500
Mn 0.500 0.000 0.000
La 0.000 0.000 0.000

Results
Energy ... -6.65 eV per atom
Formation energy from the elements ... 1759 meV/atom